First-principles (PBE) data for a relaxed Cs3Rb4 crystal, as listed in Alexandria via LeMat-Bulk.

Formation enthalpy at 0 K ... 0 kJ per mole of atoms
Density of states at the Fermi level ... 6.56 states/eV per cell
Crystal system ... orthorhombic
E above lowest polymorph ... 0.000 eV per atom

a b c (Å): 5.2008 7.2981 18.8126
angles (deg): 101.18 97.95 90.00
Last column: nearest neighbours and their distance in Å.
Element x y z (fractional)
Rb (0.2838, 0.7838, 0.5676)  5 Cs 5.08-5.19, 7 Rb 5.12-5.27
Rb (0.4280, 0.9280, 0.8560)  8 Cs 5.20-5.21, 4 Rb 5.20-5.27
Cs (0.0000, 0.5000, 0.0000)  8 Rb 5.20, 4 Cs 5.20-5.29
Cs (0.8554, 0.3554, 0.7107)  9 Rb 5.08-5.21, 3 Cs 5.20-5.29
Cs (0.1446, 0.6446, 0.2893)  9 Rb 5.08-5.21, 3 Cs 5.20-5.29
Rb (0.5720, 0.0720, 0.1440)  8 Cs 5.20-5.21, 4 Rb 5.20-5.27
Rb (0.7162, 0.2162, 0.4324)  5 Cs 5.08-5.19, 7 Rb 5.12-5.27